Here is a geometry-optimized Na2SeO2 structure from Alexandria. Energies are from PBE.

a b c (Å): 8.983 8.962 8.427
angles (deg): 62.12 61.87 56.01
Fractional positions:
Na1 0.344 0.344 0.388
Na2 0.388 0.924 0.344
Na3 0.924 0.388 0.344
Na4 0.906 0.906 0.862
Na5 0.344 0.344 0.924
Na6 0.862 0.326 0.906
Na7 0.326 0.862 0.906
Na8 0.906 0.906 0.326
Se1 0.625 0.125 0.125
Se2 0.125 0.125 0.625
Se3 0.125 0.125 0.125
Se4 0.125 0.625 0.125
O1 0.704 0.831 0.172
O2 0.172 0.293 0.704
O3 0.293 0.172 0.831
O4 0.546 0.419 0.078
O5 0.831 0.704 0.293
O6 0.078 0.957 0.546
O7 0.957 0.078 0.419
O8 0.419 0.546 0.957

* magnetic moment: 0.00 Bohr magnetons per cell
* polymorph energy (0 for the lowest one): 0.174 eV per atom
* formation energy from raw total energies: -724 meV/atom
* electronic total energy: -3.93 eV per atom
* SG: Fddd (70)